## Na5B8C2 (PBE-GGA)

Data for a relaxed Na5B8C2 crystal.

Excess energy over the best structure of this formula in the dataset ... 31 meV/atom
ΔH_f (0 K) ... 0.2009 eV/atom
Magnetization ... 0.000 μB/atom

The structure in CIF format:
```
data_Na5B8C2
_space_group_name_H-M_alt 'P 1'
_space_group_IT_number 1
_space_group_name_Hall 'P 1'
_cell_length_a 7.828
_cell_length_b 7.827
_cell_length_c 9.150
_cell_angle_alpha 107.86
_cell_angle_beta 107.87
_cell_angle_gamma 37.46
loop_
_atom_site_label
_atom_site_fract_x
_atom_site_fract_y
_atom_site_fract_z
Na1 0.801 0.799 0.999
Na2 0.901 0.899 0.500
Na3 0.598 0.604 0.001
Na4 0.697 0.704 0.501
Na5 0.402 0.398 0.997
Na6 0.502 0.498 0.501
Na7 0.196 0.202 0.999
Na8 0.297 0.304 0.501
Na9 0.001 0.998 0.000
Na10 0.101 0.099 0.503
B1 0.562 0.935 0.250
B2 0.632 0.270 0.750
B3 0.681 0.008 0.751
B4 0.542 0.176 0.249
B5 0.392 0.713 0.251
B6 0.492 0.820 0.750
B7 0.304 0.988 0.252
B8 0.187 0.507 0.248
B9 0.230 0.867 0.749
B10 0.247 0.638 0.750
B11 0.119 0.780 0.249
B12 0.966 0.338 0.251
B13 0.087 0.413 0.750
B14 0.911 0.596 0.250
B15 0.862 0.254 0.750
B16 0.724 0.357 0.250
C1 0.424 0.076 0.751
C2 0.018 0.672 0.750
C3 0.795 0.104 0.249
C4 0.828 0.482 0.750
```